[1]
# Li2CrCl2

A relaxed Li2CrCl2 crystal (PBE, the Alexandria database).

```
Li2CrCl2
1.0
7.678 0.000 0.000
0.000 7.678 0.000
0.000 0.000 3.276
Li Cr Cl
4 2 4
direct
0.135 0.365 0.000
0.365 0.865 0.000
0.635 0.135 0.000
0.865 0.635 0.000
0.000 0.000 0.000
0.500 0.500 0.000
0.151 0.651 0.500
0.349 0.151 0.500
0.651 0.849 0.500
0.849 0.349 0.500
```

Values from the calculation:
Spin magnetization = 1.120 μB/atom
Uncorrected energy = -3.96 eV/atom
Raw formation energy = -0.5346 eV per atom

[2]
# LiCrCl

A relaxed LiCrCl crystal (PBE, the Alexandria database).

```
LiCrCl
1.0
0.000 2.855 6.025
1.711 0.000 6.025
1.711 2.855 0.000
Li Cr Cl
1 1 1
direct
0.000 0.000 0.000
0.701 0.701 0.299
0.364 0.364 0.636
```

Values from the calculation:
Spin magnetization = 1.553 μB/atom
Uncorrected energy = -4.63 eV/atom
Raw formation energy = -0.1704 eV per atom

[3]
# LiCr2Cl

A relaxed LiCr2Cl crystal (PBE, the Alexandria database).

```
LiCr2Cl
1.0
1.548 0.894 7.849
-1.548 0.894 7.849
0.000 -1.788 7.849
Li Cr Cl
1 2 1
direct
0.000 0.000 0.000
0.223 0.223 0.223
0.489 0.489 0.489
0.733 0.733 0.733
```

Values from the calculation:
Spin magnetization = 0.135 μB/atom
Uncorrected energy = -5.78 eV/atom
Raw formation energy = -0.0247 eV per atom

[4]
# Li2CrCl6

A relaxed Li2CrCl6 crystal (PBE, the Alexandria database).

```
Li2CrCl6
1.0
5.898 0.000 0.000
0.000 5.898 0.000
0.000 0.000 10.949
Li Cr Cl
4 2 12
direct
0.000 0.000 0.170
0.000 0.000 0.830
0.500 0.500 0.330
0.500 0.500 0.670
0.000 0.000 0.500
0.500 0.500 0.000
0.191 0.191 0.347
0.191 0.191 0.653
0.223 0.223 0.000
0.277 0.723 0.500
0.309 0.691 0.153
0.309 0.691 0.847
0.691 0.309 0.153
0.691 0.309 0.847
0.723 0.277 0.500
0.777 0.777 0.000
0.809 0.809 0.347
0.809 0.809 0.653
```

Values from the calculation:
Spin magnetization = 0.220 μB/atom
Uncorrected energy = -3.96 eV/atom
Raw formation energy = -1.2346 eV per atom

[5]
# LiCr2Cl

A relaxed LiCr2Cl crystal (PBE, the Alexandria database).

```
LiCr2Cl
1.0
-1.517 2.513 5.092
1.517 -2.513 5.092
1.517 2.513 -5.092
Li Cr Cl
1 2 1
direct
0.000 0.000 0.000
0.396 0.896 0.500
0.583 0.583 0.000
0.790 0.290 0.500
```

Values from the calculation:
Spin magnetization = 0.014 μB/atom
Uncorrected energy = -5.48 eV/atom
Raw formation energy = 0.2758 eV per atom

[6]
# Li2CrCl2

A relaxed Li2CrCl2 crystal (PBE, the Alexandria database).

```
Li2CrCl2
1.0
-2.425 2.425 5.812
2.425 -2.425 5.812
2.425 2.425 -5.812
Li Cr Cl
2 1 2
direct
0.229 0.229 0.000
0.771 0.771 0.000
0.500 0.500 0.000
0.250 0.750 0.500
0.750 0.250 0.500
```

Values from the calculation:
Spin magnetization = 1.197 μB/atom
Uncorrected energy = -4.01 eV/atom
Raw formation energy = -0.5792 eV per atom

[7]
# LiCrCl5

A relaxed LiCrCl5 crystal (PBE, the Alexandria database).

```
LiCrCl5
1.0
7.112 -3.076 0.000
7.112 3.076 0.000
-2.867 0.000 8.460
Li Cr Cl
2 2 10
direct
0.092 0.908 0.750
0.908 0.092 0.250
0.500 0.500 0.000
0.500 0.500 0.500
0.139 0.627 0.509
0.143 0.617 0.871
0.332 0.668 0.250
0.373 0.861 0.991
0.383 0.857 0.629
0.617 0.143 0.371
0.627 0.139 0.009
0.668 0.332 0.750
0.857 0.383 0.129
0.861 0.373 0.491
```

Values from the calculation:
Spin magnetization = 0.286 μB/atom
Uncorrected energy = -4.02 eV/atom
Raw formation energy = -1.0563 eV per atom

[8]
# LiCr2Cl

A relaxed LiCr2Cl crystal (PBE, the Alexandria database).

```
LiCr2Cl
1.0
7.108 -1.508 0.000
7.108 1.508 0.000
-0.561 0.000 3.087
Li Cr Cl
1 2 1
direct
0.000 0.000 0.000
0.214 0.214 0.656
0.786 0.786 0.344
0.500 0.500 0.500
```

Values from the calculation:
Spin magnetization = 0.000 μB/atom
Uncorrected energy = -5.63 eV/atom
Raw formation energy = 0.1262 eV per atom

[9]
# LiCr2Cl

A relaxed LiCr2Cl crystal (PBE, the Alexandria database).

```
LiCr2Cl
1.0
1.604 0.926 8.560
-1.604 0.926 8.560
0.000 -1.852 8.560
Li Cr Cl
1 2 1
direct
0.000 0.000 0.000
0.244 0.244 0.244
0.756 0.756 0.756
0.500 0.500 0.500
```

Values from the calculation:
Spin magnetization = 2.263 μB/atom
Uncorrected energy = -5.30 eV/atom
Raw formation energy = 0.4486 eV per atom

[10]
# LiCr4Cl

A relaxed LiCr4Cl crystal (PBE, the Alexandria database).

```
LiCr4Cl
1.0
0.000 3.442 3.442
3.442 0.000 3.442
3.442 3.442 0.000
Li Cr Cl
1 4 1
direct
0.000 0.000 0.000
0.372 0.372 0.372
0.372 0.372 0.885
0.372 0.885 0.372
0.885 0.372 0.372
0.750 0.750 0.750
```

Values from the calculation:
Spin magnetization = 0.000 μB/atom
Uncorrected energy = -6.16 eV/atom
Raw formation energy = 0.8813 eV per atom

[11]
# Li5Cr3Cl12

A relaxed Li5Cr3Cl12 crystal (PBE, the Alexandria database).

```
Li5Cr3Cl12
1.0
-7.363 7.363 7.363
7.363 -7.363 7.363
7.363 7.363 -7.363
Li Cr Cl
20 12 48
direct
0.000 0.000 0.000
0.000 0.000 0.500
0.000 0.500 0.000
0.000 0.500 0.500
0.125 0.750 0.875
0.125 0.875 0.250
0.250 0.125 0.875
0.250 0.625 0.375
0.375 0.250 0.625
0.375 0.625 0.750
0.500 0.000 0.000
0.500 0.000 0.500
0.500 0.500 0.000
0.500 0.500 0.500
0.625 0.375 0.250
0.625 0.750 0.375
0.750 0.375 0.625
0.750 0.875 0.125
0.875 0.125 0.750
0.875 0.250 0.125
0.125 0.250 0.375
0.125 0.375 0.750
0.250 0.375 0.125
0.250 0.875 0.625
0.375 0.125 0.250
0.375 0.750 0.125
0.625 0.250 0.875
0.625 0.875 0.750
0.750 0.125 0.375
0.750 0.625 0.875
0.875 0.625 0.250
0.875 0.750 0.625
0.049 0.227 0.121
0.049 0.322 0.928
0.072 0.621 0.394
0.072 0.951 0.678
0.106 0.727 0.678
0.106 0.879 0.428
0.121 0.049 0.227
0.121 0.572 0.894
0.178 0.227 0.606
0.178 0.451 0.572
0.227 0.121 0.049
0.227 0.606 0.178
0.273 0.322 0.894
0.273 0.451 0.379
0.322 0.894 0.273
0.322 0.928 0.049
0.379 0.273 0.451
0.379 0.606 0.928
0.394 0.072 0.621
0.394 0.822 0.773
0.428 0.106 0.879
0.428 0.822 0.549
0.451 0.379 0.273
0.451 0.572 0.178
0.549 0.428 0.822
0.549 0.621 0.727
0.572 0.178 0.451
0.572 0.894 0.121
0.606 0.178 0.227
0.606 0.928 0.379
0.621 0.394 0.072
0.621 0.727 0.549
0.678 0.072 0.951
0.678 0.106 0.727
0.727 0.549 0.621
0.727 0.678 0.106
0.773 0.394 0.822
0.773 0.879 0.951
0.822 0.549 0.428
0.822 0.773 0.394
0.879 0.428 0.106
0.879 0.951 0.773
0.894 0.121 0.572
0.894 0.273 0.322
0.928 0.049 0.322
0.928 0.379 0.606
0.951 0.678 0.072
0.951 0.773 0.879
```

Values from the calculation:
Spin magnetization = 0.550 μB/atom
Uncorrected energy = -4.16 eV/atom
Raw formation energy = -1.1255 eV per atom

[12]
# LiCr2Cl2

A relaxed LiCr2Cl2 crystal (PBE, the Alexandria database).

```
LiCr2Cl2
1.0
6.702 0.000 0.000
0.000 6.702 0.000
0.000 0.000 4.684
Li Cr Cl
2 4 4
direct
0.000 0.000 0.000
0.500 0.500 0.000
0.234 0.266 0.500
0.266 0.766 0.500
0.734 0.234 0.500
0.766 0.734 0.500
0.181 0.319 0.000
0.319 0.819 0.000
0.681 0.181 0.000
0.819 0.681 0.000
```

Values from the calculation:
Spin magnetization = 1.806 μB/atom
Uncorrected energy = -5.11 eV/atom
Raw formation energy = -0.1423 eV per atom